# 1
{"formula": "TbZnNi4Sn2", "functional": "GGA-PBE", "state": "optimized geometry", "lattice_angstrom": [[-4.129, 0.959, 0.610], [-2.680, -2.961, 1.546], [-0.575, 1.780, 8.348]], "species": ["Tb", "Zn", "Ni", "Ni", "Ni", "Ni", "Sn", "Sn"], "fractional_positions": [[0.000, 0.000, 0.000], [0.500, 0.500, 0.500], [0.401, 0.401, 0.796], [0.866, 0.866, 0.401], [0.134, 0.134, 0.599], [0.599, 0.599, 0.204], [0.756, 0.756, 0.732], [0.244, 0.244, 0.268]], "formation_enthalpy_0k_ev_per_atom": -0.329, "crystal_system": "trigonal", "total_energy_ev_per_atom": -4.958, "spacegroup": "R-3m"}


# 2
{"formula": "InHgSe2", "functional": "GGA-PBE", "state": "optimized geometry", "lattice_angstrom": [[5.795, 0.000, 0.000], [0.000, 4.144, 0.001], [0.000, -0.001, 4.142]], "species": ["Hg", "In", "Se", "Se"], "fractional_positions": [[0.000, 0.375, 0.375], [0.500, 0.875, 0.875], [0.000, 0.875, 0.875], [0.500, 0.375, 0.375]], "crystal_system": "tetragonal", "raw_formation_energy_ev_per_atom": -0.29, "total_energy_ev_per_atom": -2.789, "spacegroup": "P4/mmm"}


# 3
{"formula": "TiTlS4", "functional": "GGA-PBE", "state": "optimized geometry", "lattice_angstrom": [[5.792, 0.070, -2.581], [-2.533, 7.061, -3.811], [0.369, -0.382, 7.766]], "species": ["Ti", "Ti", "Tl", "Tl", "S", "S", "S", "S", "S", "S", "S", "S"], "fractional_positions": [[0.251, 0.001, 0.003], [0.749, 0.999, 0.997], [0.395, 0.645, 0.290], [0.605, 0.355, 0.710], [0.998, 0.200, 0.943], [0.855, 0.727, 0.728], [0.445, 0.743, 0.943], [0.373, 0.001, 0.728], [0.627, 0.999, 0.272], [0.555, 0.257, 0.057], [0.145, 0.273, 0.272], [0.002, 0.800, 0.057]], "crystal_system": "monoclinic", "raw_formation_energy_ev_per_atom": -0.61, "total_energy_ev_per_atom": -5.074, "spacegroup": "C2/c"}


Repeat the first record exactly.
{"formula": "TbZnNi4Sn2", "functional": "GGA-PBE", "state": "optimized geometry", "lattice_angstrom": [[-4.129, 0.959, 0.610], [-2.680, -2.961, 1.546], [-0.575, 1.780, 8.348]], "species": ["Tb", "Zn", "Ni", "Ni", "Ni", "Ni", "Sn", "Sn"], "fractional_positions": [[0.000, 0.000, 0.000], [0.500, 0.500, 0.500], [0.401, 0.401, 0.796], [0.866, 0.866, 0.401], [0.134, 0.134, 0.599], [0.599, 0.599, 0.204], [0.756, 0.756, 0.732], [0.244, 0.244, 0.268]], "formation_enthalpy_0k_ev_per_atom": -0.329, "crystal_system": "trigonal", "total_energy_ev_per_atom": -4.958, "spacegroup": "R-3m"}


What did the third record say?
{"formula": "TiTlS4", "functional": "GGA-PBE", "state": "optimized geometry", "lattice_angstrom": [[5.792, 0.070, -2.581], [-2.533, 7.061, -3.811], [0.369, -0.382, 7.766]], "species": ["Ti", "Ti", "Tl", "Tl", "S", "S", "S", "S", "S", "S", "S", "S"], "fractional_positions": [[0.251, 0.001, 0.003], [0.749, 0.999, 0.997], [0.395, 0.645, 0.290], [0.605, 0.355, 0.710], [0.998, 0.200, 0.943], [0.855, 0.727, 0.728], [0.445, 0.743, 0.943], [0.373, 0.001, 0.728], [0.627, 0.999, 0.272], [0.555, 0.257, 0.057], [0.145, 0.273, 0.272], [0.002, 0.800, 0.057]], "crystal_system": "monoclinic", "raw_formation_energy_ev_per_atom": -0.61, "total_energy_ev_per_atom": -5.074, "spacegroup": "C2/c"}